Computed, not measured: an optimized crystal structure of H4Pd9Pb3 at the PBE level of DFT.

Properties
Electronic total energy (eV/cell): -222.58

a = 5.7782 Å, b = 5.7782 Å, c = 23.6585 Å
α = 90.00°, β = 90.00°, γ = 120.00°
Space group R3m (No. 160, hexagonal axes)
Unique sites:
H: 0.0000 0.0000 0.0000 (multiplicity 3)
H: 0.0000 0.0000 0.1278 (multiplicity 3)
H: 0.0000 0.0000 0.4063 (multiplicity 3)
H: 0.0000 0.0000 0.5344 (multiplicity 3)
Pd: 0.0000 0.5000 0.2670 (multiplicity 9)
Pd: 0.0024 0.5012 0.7064 (multiplicity 9)
Pd: 0.1679 0.3358 0.1610 (multiplicity 9)
Pb: 0.0000 0.0000 0.2670 (multiplicity 3)
Pb: 0.0000 0.0000 0.7015 (multiplicity 3)
Pb: 0.0000 0.0000 0.8325 (multiplicity 3)